Record 1
A relaxed Ti2H2Au crystal. Source: the Alexandria database, functional PBE.

total energy: -5.564 eV/atom
theoretical density: 8.9 Mg/m³
D(E_F): 3.3 states/eV/f.u.

a b c (Å): 5.2705 8.4848 5.5560
angles (deg): 90.00 118.16 90.00
Closest atoms and distances in Å follow each position.
Space group C2/c (No. 15)
Unique sites:
1 Ti 0.0000 0.0419 0.2500 x4  4 H 1.88-1.92
2 Ti 0.0000 0.2910 0.7500 x4  4 H 1.88-1.92
3 H 0.1276 0.1248 0.0040 x8  4 Ti 1.88-1.92
4 Au 0.0000 0.3755 0.2500 x4  8 H 2.77-2.92, 10 Ti 2.83-2.99

***

Record 2
A relaxed TiHAu crystal. Source: the Alexandria database, functional PBE.

total energy: -4.933 eV/atom
theoretical density: 10.2 Mg/m³
D(E_F): 2.0 states/eV/f.u.

a b c (Å): 3.0827 3.8082 7.0644
angles (deg): 105.60 90.13 90.05
Closest atoms and distances in Å follow each position.
Space group P-1 (No. 2)
Unique sites:
1 Ti 0.2492 0.1916 0.3823 x2  2 H 2.11
2 H 0.2527 0.9135 0.8292 x2  2 Au 1.91, 2 Ti 2.11
3 Au 0.2510 0.4069 0.8160 x2  2 H 1.91